Record 1
DFT (PBEsol) results for an optimized crystal structure of InMoCl2.

Summary:
DFT total energy ... -4.79 eV/atom
Formation energy without anion corrections ... -0.103 eV/atom
Polymorph energy (0 for the lowest one) ... 183 meV per atom

Lattice parameters (Å, degrees): 3.0846 3.0846 8.0851 90.00 90.00 90.00
Last column: magnetic moment on the atom in μB.
Fractional coordinates of all 4 atoms:
Mo 0.5000 0.5000 0.7604  0.72
Cl 0.5000 0.5000 0.2908  0.01
Cl 0.0000 0.0000 0.9307  0.02
In 0.0000 0.0000 0.5181  0.01

***

Record 2
DFT (PBEsol) results for an optimized crystal structure of InMoCl2.

Summary:
DFT total energy ... -4.68 eV/atom
Formation energy without anion corrections ... 0.014 eV/atom
Polymorph energy (0 for the lowest one) ... 300 meV per atom

Lattice parameters (Å, degrees): 2.9699 4.0291 6.5574 90.00 90.00 90.00
Fractional coordinates of all 4 atoms:
Cl 0.0009 0.0000 0.2865
Cl 0.9991 0.0000 0.7135
In 0.5000 0.5000 0.0000
Mo 0.0000 0.5000 0.5000

***

Record 3
DFT (PBEsol) results for an optimized crystal structure of InMoCl2.

Summary:
DFT total energy ... -4.98 eV/atom
Formation energy without anion corrections ... -0.286 eV/atom
Polymorph energy (0 for the lowest one) ... 0 meV per atom

Lattice parameters (Å, degrees): 3.1008 3.1008 10.6346 81.62 81.62 60.00
Fractional coordinates of all 4 atoms:
Cl 0.7201 0.7201 0.8396
Cl 0.2799 0.2799 0.1604
Mo 0.0000 0.0000 0.0000
In 0.5000 0.5000 0.5000

***

Record 4
DFT (PBEsol) results for an optimized crystal structure of InNCl2.

Summary:
DFT total energy ... -3.27 eV/atom
Formation energy without anion corrections ... 0.615 eV/atom

Lattice parameters (Å, degrees): 6.3062 6.3062 6.3062 60.00 60.00 60.00
Fractional coordinates of all 8 atoms:
In 0.5000 0.5000 0.5000
In 0.7500 0.7500 0.7500
Cl 0.1250 0.1250 0.6250
Cl 0.1250 0.1250 0.1250
Cl 0.6250 0.1250 0.1250
Cl 0.1250 0.6250 0.1250
N 0.2500 0.2500 0.2500
N 0.0000 0.0000 0.0000

***

Record 5
DFT (PBEsol) results for an optimized crystal structure of InPdN2Cl.

Summary:
DFT total energy ... -4.14 eV/atom
Formation energy without anion corrections ... 1.464 eV/atom

Lattice parameters (Å, degrees): 4.1238 4.1238 5.2847 90.00 90.00 90.00
Last column: magnetic moment on the atom in μB.
Fractional coordinates of all 5 atoms:
In 0.0000 0.0000 0.0000  0.00
N 0.5000 0.0000 0.0000  1.03
N 0.0000 0.5000 0.0000  1.03
Cl 0.0000 0.0000 0.5000  0.13
Pd 0.5000 0.5000 0.5000  0.74

***

Record 6
DFT (PBEsol) results for an optimized crystal structure of InS2NCl.

Summary:
DFT total energy ... -3.25 eV/atom
Formation energy without anion corrections ... 1.208 eV/atom
Polymorph energy (0 for the lowest one) ... 61 meV per atom

Lattice parameters (Å, degrees): 3.5170 4.8676 4.8676 90.00 90.00 90.00
Last column: magnetic moment on the atom in μB.
Fractional coordinates of all 5 atoms:
S 0.0000 0.0000 0.5000  0.01
S 0.0000 0.5000 0.0000  0.01
In 0.5000 0.5000 0.5000  0.00
N 0.5000 0.0000 0.0000  0.15
Cl 0.0000 0.0000 0.0000  0.00

***

Record 7
DFT (PBEsol) results for an optimized crystal structure of InS2NCl.

Summary:
DFT total energy ... -3.31 eV/atom
Formation energy without anion corrections ... 1.148 eV/atom
Polymorph energy (0 for the lowest one) ... 0 meV per atom

Lattice parameters (Å, degrees): 4.2195 5.1452 5.1452 90.00 90.00 90.00
Last column: magnetic moment on the atom in μB.
Fractional coordinates of all 5 atoms:
Cl 0.5000 0.5000 0.5000  0.63
In 0.0000 0.0000 0.0000  -0.03
S 0.0000 0.5000 0.0000  0.80
S 0.0000 0.0000 0.5000  0.80
N 0.5000 0.0000 0.0000  1.21

***

Record 8
DFT (PBEsol) results for an optimized crystal structure of Na3InCl6.

Summary:
DFT total energy ... -3.45 eV/atom
Formation energy without anion corrections ... -1.529 eV/atom

Lattice parameters (Å, degrees): 6.8864 6.8864 12.3560 90.00 90.00 120.00
Fractional coordinates of all 20 atoms:
Cl 0.3641 0.0478 0.3718
Cl 0.0478 0.6837 0.6282
Cl 0.6837 0.0478 0.1282
Cl 0.3641 0.3163 0.1282
Cl 0.3163 0.3641 0.6282
Cl 0.6837 0.6359 0.3718
Cl 0.6359 0.9522 0.6282
Cl 0.9522 0.6359 0.1282
Cl 0.0478 0.3641 0.8718
Cl 0.3163 0.9522 0.8718
Cl 0.6359 0.6837 0.8718
Cl 0.9522 0.3163 0.3718
Na 0.3333 0.6667 0.4607
Na 0.3333 0.6667 0.0393
Na 0.0000 0.0000 0.7500
Na 0.6667 0.3333 0.9607
Na 0.6667 0.3333 0.5393
Na 0.0000 0.0000 0.2500
In 0.3333 0.6667 0.7500
In 0.6667 0.3333 0.2500